[1]
DFT (GGA-PBEsol) results for LaTa2Au after structural relaxation.

Lattice parameters (Å, degrees): 2.953 5.420 5.832 115.60 101.15 97.40
Fractional coordinates of all 4 atoms:
Ta: 0.500 0.500 0.500
Ta: 0.000 0.000 0.500
La: 0.500 0.000 0.000
Au: 0.000 0.500 0.000

Offset from the most stable computed form: 56.1 meV per atom
Symmetry: C2/m

[2]
DFT (GGA-PBEsol) results for LaTaAu after structural relaxation.

Lattice parameters (Å, degrees): 3.056 3.056 7.844 90.00 90.00 120.00
Fractional coordinates of all 3 atoms:
Au: 0.000 0.000 0.026
Ta: 0.333 0.667 0.305
La: 0.667 0.333 0.668

Symmetry: P3m1

[3]
DFT (GGA-PBEsol) results for LaTaAu4 after structural relaxation.

Lattice parameters (Å, degrees): 5.516 5.516 5.516 60.00 60.00 60.00
Fractional coordinates of all 6 atoms:
Au: 0.877 0.374 0.374
Au: 0.374 0.374 0.877
Au: 0.374 0.374 0.374
La: 0.750 0.750 0.750
Au: 0.374 0.877 0.374
Ta: 0.000 0.000 0.000

Symmetry: F-43m

[4]
DFT (GGA-PBEsol) results for LaZrTaAu2 after structural relaxation.

Lattice parameters (Å, degrees): 5.066 5.155 5.155 90.00 90.00 90.00
Fractional coordinates of all 5 atoms:
La: 0.000 0.000 0.000
Zr: 0.500 0.500 0.500
Au: 0.000 0.000 0.500
Ta: 0.500 0.000 0.000
Au: 0.000 0.500 0.000

Symmetry: P4/mmm

no.,formation enthalpy at 0 K (eV/atom)
1,0.35
2,0.26
3,0.04
4,1.50